Density functional theory data (PBE) for an optimized crystal structure of Na2TmZnSn2.

a = 4.7201 Å, b = 8.8213 Å, c = 7.4427 Å
α = 90.00°, β = 90.00°, γ = 90.00°
Space group Pmc2_1 (No. 26)
Asymmetric unit:
Na (0.0000, 0.0760, 0.0000) x2
Na (0.5000, 0.1541, 0.3071) x2
Tm (0.5000, 0.4833, 0.9979) x2
Zn (0.0000, 0.3089, 0.6163) x2
Sn (0.0000, 0.3888, 0.2533) x2
Sn (0.5000, 0.1973, 0.7394) x2

Results
VASP energy in eV/cell: -36.69

Density functional theory data (PBE) for an optimized crystal structure of MnP2BrCl.

a = 4.4370 Å, b = 4.4370 Å, c = 4.7074 Å
α = 90.00°, β = 90.00°, γ = 90.00°
Space group P4/mmm (No. 123)
Asymmetric unit:
Mn (0.0000, 0.0000, 0.0000) x1
P (0.0000, 0.5000, 0.0000) x2
Br (0.5000, 0.5000, 0.5000) x1
Cl (0.0000, 0.0000, 0.5000) x1

Results
E_form (uncorrected) in eV per atom: 0.295
Excess energy over the best structure of this formula in the dataset in kJ/mol of formula units: 0

Density functional theory data (PBE) for an optimized crystal structure of FeSbTe2.

a = 5.2004 Å, b = 5.2004 Å, c = 3.6251 Å
α = 90.00°, β = 90.00°, γ = 90.00°
Space group P4/mmm (No. 123)
Asymmetric unit:
Fe (0.0000, 0.0000, 0.0000) x1
Sb (0.5000, 0.5000, 0.0000) x1
Te (0.0000, 0.5000, 0.5000) x2

Results
E_form (uncorrected) in eV per atom: 0.531

Density functional theory data (PBE) for an optimized crystal structure of Tb3Tm7Sc.

a = 6.9128 Å, b = 6.9128 Å, c = 8.4513 Å
α = 90.00°, β = 90.00°, γ = 120.00°
Space group P3m1 (No. 156)
Asymmetric unit:
Tb (0.0015, 0.5007, 0.0000) x3
Tm (0.1683, 0.3367, 0.6591) x3
Tm (0.3355, 0.1677, 0.3339) x3
Tm (0.6667, 0.3333, 0.6614) x1
Sc (0.3333, 0.6667, 0.3355) x1

Results
Excess energy over the best structure of this formula in the dataset in kJ/mol of formula units: 32

Density functional theory data (PBE) for an optimized crystal structure of Sr2CoW.

a = 3.8506 Å, b = 3.8506 Å, c = 6.9650 Å
α = 90.00°, β = 90.00°, γ = 90.00°
Space group P4/mmm (No. 123)
Asymmetric unit:
Sr (0.0000, 0.0000, 0.2388) x2
Co (0.5000, 0.5000, 0.0000) x1
W (0.5000, 0.5000, 0.5000) x1

Results
Excess energy over the best structure of this formula in the dataset in kJ/mol of formula units: 281

Density functional theory data (PBE) for an optimized crystal structure of TlHg2Ru.

a = 2.9983 Å, b = 4.7053 Å, c = 13.4564 Å
α = 90.00°, β = 90.00°, γ = 90.00°
Space group Imm2 (No. 44)
Asymmetric unit:
Tl (0.0000, 0.0000, 0.0000) x2
Hg (0.0000, 0.0000, 0.6438) x2
Hg (0.0000, 0.5000, 0.8159) x2
Ru (0.0000, 0.5000, 0.3223) x2

Results
Excess energy over the best structure of this formula in the dataset in kJ/mol of formula units: 11

Density functional theory data (PBE) for an optimized crystal structure of In3Re4.

a = 3.0017 Å, b = 3.0017 Å, c = 28.7673 Å
α = 90.00°, β = 90.00°, γ = 90.00°
Space group I4/mmm (No. 139)
Asymmetric unit:
In (0.0000, 0.0000, 0.0000) x2
In (0.0000, 0.0000, 0.3007) x4
Re (0.0000, 0.0000, 0.1255) x4
Re (0.0000, 0.0000, 0.4255) x4

Results
Excess energy over the best structure of this formula in the dataset in kJ/mol of formula units: 0

Density functional theory data (PBE) for an optimized crystal structure of KHg3Pt.

a = 9.9485 Å, b = 6.7768 Å, c = 10.3337 Å
α = 90.00°, β = 121.10°, γ = 90.00°
Space group P2_1/c (No. 14)
Asymmetric unit:
K (0.1820, 0.2495, 0.0904) x4
Hg (0.0421, 0.5708, 0.2701) x4
Hg (0.2799, 0.7498, 0.1397) x4
Hg (0.4432, 0.2194, 0.4698) x4
Pt (0.2418, 0.6176, 0.8706) x4

Results
Excess energy over the best structure of this formula in the dataset in kJ/mol of formula units: 56

Density functional theory data (PBE) for an optimized crystal structure of AgTeBr2.

a = 3.8764 Å, b = 7.2628 Å, c = 9.2581 Å
α = 90.00°, β = 90.00°, γ = 90.00°
Space group Cmm2 (No. 35)
Asymmetric unit:
Ag (0.0000, 0.0000, 0.0000) x2
Te (0.0000, 0.5000, 0.2068) x2
Br (0.0000, 0.0000, 0.4450) x2
Br (0.0000, 0.5000, 0.8164) x2

Results
E_form (uncorrected) in eV per atom: -0.036
Excess energy over the best structure of this formula in the dataset in kJ/mol of formula units: 50

Density functional theory data (PBE) for an optimized crystal structure of BiSb.

a = 4.3122 Å, b = 15.9162 Å, c = 6.6736 Å
α = 90.00°, β = 90.00°, γ = 90.00°
Space group Imm2 (No. 44)
Asymmetric unit:
Bi (0.0000, 0.0000, 0.0000) x2
Bi (0.0000, 0.1724, 0.4485) x4
Sb (0.0000, 0.1972, 0.8978) x4
Sb (0.0000, 0.5000, 0.8096) x2

Results
E_form (uncorrected) in eV per atom: 0.108
Excess energy over the best structure of this formula in the dataset in kJ/mol of formula units: 22

Density functional theory data (PBE) for an optimized crystal structure of LaNd6Ag.

a = 9.7242 Å, b = 9.7242 Å, c = 9.8546 Å
α = 90.00°, β = 90.00°, γ = 120.00°
Space group R-3 (No. 148, hexagonal axes)
Asymmetric unit:
La (0.0000, 0.0000, 0.0000) x3
Nd (0.0296, 0.7730, 0.7045) x18
Ag (0.0000, 0.0000, 0.5000) x3

Results
VASP energy in eV/cell: -108.41

Density functional theory data (PBE) for an optimized crystal structure of H3PtF.

a = 3.4387 Å, b = 3.4387 Å, c = 3.4387 Å
α = 90.00°, β = 90.00°, γ = 90.00°
Space group Pm-3m (No. 221)
Asymmetric unit:
H (0.0000, 0.0000, 0.5000) x3
Pt (0.0000, 0.0000, 0.0000) x1
F (0.5000, 0.5000, 0.5000) x1

Results
Excess energy over the best structure of this formula in the dataset in kJ/mol of formula units: 0